This record from Alexandria via LeMat-Bulk describes a crystal of C2Se relaxed with PBEsol. The functional is SCAN.

```
6
Lattice="2.518 0.000 0.000 1.259 3.898 -0.541 1.259 0.239 9.438" Properties=species:S:1:pos:R:3 pbc="T T T"
Se 3.777 2.957 7.605
C 2.518 1.869 3.754
C 3.777 2.453 5.791
Se 1.259 1.180 1.292
C 2.518 2.268 5.144
C 1.259 1.684 3.106
```

The value obtained for the energy above the most stable polymorph in this dataset is 0 meV per atom. Its space group is C2/m. Its calculated total energy is -13.156 eV per atom. The value obtained for the total magnetic moment is 0.0000 μB per atom. For the uncorrected formation energy, the calculation gives 270 meV per atom.


This record from Alexandria via LeMat-Bulk describes a crystal of CSe3 relaxed with PBEsol. The functional is SCAN.

```
4
Lattice="-1.216 -2.423 0.717 3.465 -2.280 3.653 -2.447 1.041 4.845" Properties=species:S:1:pos:R:3 pbc="T T T"
Se -0.608 -1.211 0.359
Se -0.498 -2.042 3.221
C 0.509 -0.620 4.249
Se 0.299 -1.620 5.995
```

The value obtained for the energy above the most stable polymorph in this dataset is 75 meV per atom. Its space group is Immm. Its calculated total energy is -16.343 eV per atom. The value obtained for the total magnetic moment is 0.0002 μB per atom. For the uncorrected formation energy, the calculation gives 1241 meV per atom.


This record from Alexandria via LeMat-Bulk describes a crystal of SiC3Se relaxed with PBEsol. The functional is SCAN.

```
5
Lattice="3.845 0.000 0.000 0.000 3.845 0.000 0.000 0.000 3.845" Properties=species:S:1:pos:R:3 pbc="T T T"
C 0.000 0.000 1.923
C 0.000 1.923 0.000
C 1.923 0.000 0.000
Se 0.000 0.000 0.000
Si 1.923 1.923 1.923
```

Its space group is Pm-3m. Its calculated total energy is -8.999 eV per atom. The value obtained for the total magnetic moment is 0.0153 μB per atom. For the uncorrected formation energy, the calculation gives 3079 meV per atom.


This record from Alexandria via LeMat-Bulk describes a crystal of SiCSe2 relaxed with PBEsol. The functional is SCAN.

```
8
Lattice="-3.648 3.208 2.972 -1.199 -5.566 -0.081 -0.041 -0.968 5.612" Properties=species:S:1:pos:R:3 pbc="T T T"
Si 0.000 0.000 0.000
Se -2.632 -3.268 1.970
Se -0.968 -4.114 4.726
C -0.620 -3.267 2.766
Se -3.630 1.937 5.200
C -2.754 -3.297 5.634
Se -2.545 -1.208 5.110
Si -2.134 -0.030 2.869
```

Its space group is I-42d. Its calculated total energy is -13.801 eV per atom. The value obtained for the total magnetic moment is 0.0000 μB per atom. For the uncorrected formation energy, the calculation gives 1268 meV per atom.


This record from Alexandria via LeMat-Bulk describes a crystal of SnCSe2 relaxed with PBEsol. The functional is SCAN.

```
4
Lattice="3.207 0.000 0.000 1.603 2.777 0.000 1.603 0.926 8.479" Properties=species:S:1:pos:R:3 pbc="T T T"
C 3.207 1.851 4.240
Se 1.603 0.926 5.584
Sn 0.000 0.000 0.000
Se 4.810 2.777 2.895
```

The value obtained for the energy above the most stable polymorph in this dataset is 307 meV per atom. Its space group is R-3m. Its calculated total energy is -20.388 eV per atom. The value obtained for the total magnetic moment is 0.0000 μB per atom. For the uncorrected formation energy, the calculation gives 1157 meV per atom.


This record from Alexandria via LeMat-Bulk describes a crystal of SnCSe2 relaxed with PBEsol. The functional is SCAN.

```
8
Lattice="6.429 0.000 0.000 -3.215 5.190 0.315 0.000 3.661 5.285" Properties=species:S:1:pos:R:3 pbc="T T T"
Sn 3.215 5.341 4.121
Sn 0.000 0.000 0.000
Se 4.822 3.191 2.812
Se 0.915 5.265 2.218
C 0.000 3.510 1.479
Se 1.607 2.150 1.309
C 3.215 1.831 2.642
Se -0.915 7.096 4.860
```

The value obtained for the energy above the most stable polymorph in this dataset is 118 meV per atom. Its space group is I-42d. Its calculated total energy is -20.577 eV per atom. The value obtained for the total magnetic moment is 0.0000 μB per atom. For the uncorrected formation energy, the calculation gives 967 meV per atom.